Version a
# ScPAu3

A geometry-optimized ScPAu3 structure (PBE-GGA, Alexandria).

```
ScPAu3
1.0
-3.411 -1.870 2.688
2.946 -3.446 1.341
1.429 2.642 3.651
Au P Sc
3 1 1
Direct
0.500 0.000 0.000
0.000 0.500 0.000
0.000 0.000 0.500
0.000 0.000 0.000
0.500 0.500 0.500
```

Crystal system: cubic
DOS at the Fermi energy in states/eV per cell: 5.48
Symmetry: Pm-3m

Version b
# ScPAu3

A geometry-optimized ScPAu3 structure (PBE-GGA, Alexandria).

```
ScPAu3
1.0
-0.235 3.799 3.349
-4.770 -1.292 1.132
1.702 -3.098 3.634
P Au Sc
1 3 1
Direct
0.500 0.500 0.500
0.500 0.000 0.000
0.000 0.000 0.500
0.000 0.500 0.000
0.000 0.000 0.000
```

Crystal system: cubic
DOS at the Fermi energy in states/eV per cell: 3.98
Symmetry: Pm-3m

Which one sits at the top of the stability order? version a does.

Version a
# ScP3Au

A geometry-optimized ScP3Au structure (PBE-GGA, Alexandria).

```
ScP3Au
1.0
-0.191 -0.107 -4.882
-3.985 -2.819 0.218
-2.821 3.990 0.023
P Sc Au
3 1 1
Direct
0.000 0.000 0.500
0.500 0.000 0.000
0.000 0.500 0.000
0.000 0.000 0.000
0.500 0.500 0.500
```

Crystal system: cubic
DOS at the Fermi energy in states/eV per cell: 3.96
Symmetry: Pm-3m

Version b
# ScP3Au

A geometry-optimized ScP3Au structure (PBE-GGA, Alexandria).

```
ScP3Au
1.0
-0.594 -0.750 -4.700
-0.838 -4.646 0.847
-4.685 0.926 0.444
P Sc Au
3 1 1
Direct
0.500 0.000 0.000
0.000 0.000 0.500
0.000 0.500 0.000
0.500 0.500 0.500
0.000 0.000 0.000
```

Crystal system: cubic
DOS at the Fermi energy in states/eV per cell: 3.66
Symmetry: Pm-3m

Which one sits at the top of the stability order? version b does.

Version a
# PAu2Se

A geometry-optimized PAu2Se structure (PBE-GGA, Alexandria).

```
PAu2Se
1.0
0.000 3.321 3.321
3.321 0.000 3.321
3.321 3.321 0.000
Au P Se
2 1 1
Direct
0.250 0.250 0.250
0.750 0.750 0.750
0.000 0.000 0.000
0.500 0.500 0.500
```

Crystal system: cubic
DOS at the Fermi energy in states/eV per cell: 3.00
Symmetry: Fm-3m

Version b
# PAu2Se

A geometry-optimized PAu2Se structure (PBE-GGA, Alexandria).

```
PAu2Se
1.0
-1.666 1.975 5.842
1.666 -1.975 5.842
1.666 1.975 -5.842
P Se Au
1 1 2
Direct
0.000 0.500 0.500
0.500 0.000 0.500
0.194 0.194 0.000
0.806 0.806 0.000
```

Crystal system: orthorhombic
DOS at the Fermi energy in states/eV per cell: 1.58
Symmetry: Immm

Which one sits at the top of the stability order? version b does.